--- A ---
# Pr2SeI, relaxed, DFT GGA-PBE
data_Pr2SeI
_cell_length_a 4.4062
_cell_length_b 4.4062
_cell_length_c 22.4307
_cell_angle_alpha 90.00
_cell_angle_beta 90.00
_cell_angle_gamma 120.00
_space_group_name_H-M_alt 'R -3 m'
_space_group_IT_number 166
_space_group_name_Hall '-R 3 2"'
loop_
_atom_site_label
_atom_site_type_symbol
_atom_site_fract_x
_atom_site_fract_y
_atom_site_fract_z
_atom_site_occupancy
Pr1 Pr 0.0000 0.0000 0.2301 1
Se1 Se 0.0000 0.0000 0.5000 1
I1 I 0.0000 0.0000 0.0000 1
# M_tot = 0.0 μB per formula unit

=====

--- B ---
# Pr2SeI, relaxed, DFT GGA-PBE
data_Pr2SeI
_cell_length_a 3.7902
_cell_length_b 3.7902
_cell_length_c 7.6362
_cell_angle_alpha 90.00
_cell_angle_beta 90.00
_cell_angle_gamma 90.00
_space_group_name_H-M_alt 'P 4/m m m'
_space_group_IT_number 123
_space_group_name_Hall '-P 4 2'
loop_
_atom_site_label
_atom_site_type_symbol
_atom_site_fract_x
_atom_site_fract_y
_atom_site_fract_z
_atom_site_occupancy
Pr1 Pr 0.0000 0.0000 0.2314 1
Se1 Se 0.5000 0.5000 0.0000 1
I1 I 0.5000 0.5000 0.5000 1
# M_tot = 0.0 μB per formula unit

=====

Tell me which of them is the most stable. Sure, it is A.

=====

--- A ---
# Pr2SeI, relaxed, DFT GGA-PBE
data_Pr2SeI
_cell_length_a 4.1281
_cell_length_b 4.1281
_cell_length_c 10.0290
_cell_angle_alpha 90.00
_cell_angle_beta 90.00
_cell_angle_gamma 120.00
_space_group_name_H-M_alt 'P 3 m 1'
_space_group_IT_number 156
_space_group_name_Hall 'P 3 -2"'
loop_
_atom_site_label
_atom_site_type_symbol
_atom_site_fract_x
_atom_site_fract_y
_atom_site_fract_z
_atom_site_occupancy
Pr1 Pr 0.0000 0.0000 0.0000 1
Pr2 Pr 0.3333 0.6667 0.5471 1
Se1 Se 0.0000 0.0000 0.7154 1
I1 I 0.3333 0.6667 0.2259 1
# M_tot = 1.2 μB per formula unit

=====

--- B ---
# Pr2SeI, relaxed, DFT GGA-PBE
data_Pr2SeI
_cell_length_a 4.1463
_cell_length_b 4.1463
_cell_length_c 24.6709
_cell_angle_alpha 90.00
_cell_angle_beta 90.00
_cell_angle_gamma 120.00
_space_group_name_H-M_alt 'R 3 m'
_space_group_IT_number 160
_space_group_name_Hall 'R 3 -2"'
loop_
_atom_site_label
_atom_site_type_symbol
_atom_site_fract_x
_atom_site_fract_y
_atom_site_fract_z
_atom_site_occupancy
Pr1 Pr 0.0000 0.0000 0.0000 1
Pr2 Pr 0.0000 0.0000 0.1947 1
Se1 Se 0.0000 0.0000 0.5966 1
I1 I 0.0000 0.0000 0.4301 1
# M_tot = 0.0 μB per formula unit

=====

Tell me which of them is the most stable. Sure, it is B.

=====

--- A ---
# PrSmSeI, relaxed, DFT GGA-PBE
data_PrSmSeI
_cell_length_a 7.1233
_cell_length_b 4.1159
_cell_length_c 8.4499
_cell_angle_alpha 90.00
_cell_angle_beta 106.24
_cell_angle_gamma 90.00
_space_group_name_H-M_alt 'C 1 m 1'
_space_group_IT_number 8
_space_group_name_Hall 'C -2y'
loop_
_atom_site_label
_atom_site_type_symbol
_atom_site_fract_x
_atom_site_fract_y
_atom_site_fract_z
_atom_site_occupancy
Pr1 Pr 0.0000 0.0000 0.0000 1
Sm1 Sm 0.3045 0.5000 0.4138 1
Se1 Se 0.4043 0.0000 0.2127 1
I1 I 0.2328 0.0000 0.6987 1
# M_tot = 0.0 μB per formula unit

=====

--- B ---
# PrSmSeI, relaxed, DFT GGA-PBE
data_PrSmSeI
_cell_length_a 7.5341
_cell_length_b 7.5341
_cell_length_c 7.5341
_cell_angle_alpha 90.00
_cell_angle_beta 90.00
_cell_angle_gamma 90.00
_space_group_name_H-M_alt 'F -4 3 m'
_space_group_IT_number 216
_space_group_name_Hall 'F -4 2 3'
loop_
_atom_site_label
_atom_site_type_symbol
_atom_site_fract_x
_atom_site_fract_y
_atom_site_fract_z
_atom_site_occupancy
Pr1 Pr 0.0000 0.0000 0.0000 1
Sm1 Sm 0.0000 0.0000 0.5000 1
Se1 Se 0.2500 0.2500 0.7500 1
I1 I 0.2500 0.2500 0.2500 1
# M_tot = 0.0 μB per formula unit

=====

Tell me which of them is the most stable. Sure, it is A.

=====

--- A ---
# Pr4Si2I3, relaxed, DFT GGA-PBE
data_Pr4Si2I3
_cell_length_a 15.7783
_cell_length_b 13.3320
_cell_length_c 6.0815
_cell_angle_alpha 90.00
_cell_angle_beta 93.65
_cell_angle_gamma 90.00
_space_group_name_H-M_alt 'C 1 2/c 1'
_space_group_IT_number 15
_space_group_name_Hall '-C 2yc'
loop_
_atom_site_label
_atom_site_type_symbol
_atom_site_fract_x
_atom_site_fract_y
_atom_site_fract_z
_atom_site_occupancy
Pr1 Pr 0.1285 0.1922 0.0061 1
Pr2 Pr 0.1966 0.3978 0.4501 1
Si1 Si 0.2027 0.3873 0.9401 1
I1 I 0.0000 0.3599 0.2500 1
I2 I 0.0945 0.1100 0.5113 1
# M_tot = 0.0 μB per formula unit

=====

--- B ---
# Pr4Si2I3, relaxed, DFT GGA-PBE
data_Pr4Si2I3
_cell_length_a 7.5779
_cell_length_b 4.3753
_cell_length_c 19.3307
_cell_angle_alpha 90.00
_cell_angle_beta 90.06
_cell_angle_gamma 90.00
_space_group_name_H-M_alt 'C 1 2/m 1'
_space_group_IT_number 12
_space_group_name_Hall '-C 2y'
loop_
_atom_site_label
_atom_site_type_symbol
_atom_site_fract_x
_atom_site_fract_y
_atom_site_fract_z
_atom_site_occupancy
Pr1 Pr 0.0007 0.0000 0.2864 1
Pr2 Pr 0.1663 0.5000 0.8794 1
Si1 Si 0.1672 0.5000 0.1994 1
I1 I 0.0000 0.0000 0.0000 1
I2 I 0.1657 0.5000 0.6065 1
# M_tot = 0.0 μB per formula unit

=====

Tell me which of them is the most stable. Sure, it is B.